[1]
A plane-wave DFT calculation with PBE was carried out for an optimized crystal structure of Sm8Ga21Ru11.

Computed properties:
electronic total energy = -225.47 eV per formula unit
space group = C222
calculated volume = 18.3 Å³/atom
energy relative to the elements = -22.1 eV per formula unit

a b c (Å): 11.402 11.402 5.639
angles (deg): 90.00 90.00 90.13
Fractional positions:
Sm 0.077 0.735 0.254
Sm 0.236 0.422 0.243
Sm 0.265 0.923 0.746
Sm 0.422 0.236 0.757
Sm 0.578 0.764 0.757
Sm 0.735 0.077 0.746
Sm 0.764 0.578 0.243
Sm 0.923 0.265 0.254
Ga 0.000 0.500 0.004
Ga 0.000 0.500 0.497
Ga 0.029 0.815 0.752
Ga 0.175 0.175 0.000
Ga 0.178 0.178 0.500
Ga 0.185 0.971 0.248
Ga 0.310 0.473 0.734
Ga 0.315 0.685 0.000
Ga 0.324 0.676 0.500
Ga 0.473 0.310 0.266
Ga 0.500 0.000 0.503
Ga 0.500 0.000 0.996
Ga 0.500 0.500 0.000
Ga 0.527 0.690 0.266
Ga 0.676 0.324 0.500
Ga 0.685 0.315 0.000
Ga 0.690 0.527 0.734
Ga 0.815 0.029 0.248
Ga 0.822 0.822 0.500
Ga 0.825 0.825 0.000
Ga 0.971 0.185 0.752
Ru 0.000 0.000 0.000
Ru 0.000 0.000 0.500
Ru 0.121 0.354 0.751
Ru 0.144 0.622 0.752
Ru 0.354 0.121 0.249
Ru 0.378 0.856 0.248
Ru 0.500 0.500 0.500
Ru 0.622 0.144 0.248
Ru 0.646 0.879 0.249
Ru 0.856 0.378 0.752
Ru 0.879 0.646 0.751

[2]
A plane-wave DFT calculation with PBE was carried out for an optimized crystal structure of Dy3Ga12Ag.

Computed properties:
electronic total energy = -59.04 eV per formula unit
space group = P4/mmm
calculated volume = 19.2 Å³/atom
energy relative to the elements = -6.1 eV per formula unit

a b c (Å): 4.272 4.272 16.841
angles (deg): 90.00 90.00 90.00
Fractional positions:
Dy 0.000 0.000 0.000
Dy 0.000 0.000 0.256
Dy 0.000 0.000 0.744
Ga 0.000 0.500 0.128
Ga 0.000 0.500 0.386
Ga 0.000 0.500 0.614
Ga 0.000 0.500 0.872
Ga 0.500 0.000 0.128
Ga 0.500 0.000 0.386
Ga 0.500 0.000 0.614
Ga 0.500 0.000 0.872
Ga 0.500 0.500 0.000
Ga 0.500 0.500 0.246
Ga 0.500 0.500 0.500
Ga 0.500 0.500 0.754
Ag 0.000 0.000 0.500

[3]
A plane-wave DFT calculation with PBE was carried out for an optimized crystal structure of DyNpGe2.

Computed properties:
electronic total energy = -28.01 eV per formula unit
space group = R-3m
E above lowest polymorph = 0.26 eV/f.u.
calculated volume = 22.9 Å³/atom
energy relative to the elements = -1.2 eV per formula unit

a b c (Å): 5.417 5.417 5.417
angles (deg): 52.16 52.16 52.16
Fractional positions:
Dy 0.000 0.000 0.000
Np 0.500 0.500 0.500
Ge 0.248 0.248 0.248
Ge 0.752 0.752 0.752

[4]
A plane-wave DFT calculation with PBE was carried out for an optimized crystal structure of YBr.

Computed properties:
electronic total energy = -10.48 eV per formula unit
space group = Cmcm
calculated volume = 33.0 Å³/atom
raw formation energy = -2.34 eV per formula unit

a b c (Å): 9.624 9.624 3.742
angles (deg): 90.00 90.00 157.60
Fractional positions:
Y 0.186 0.814 0.750
Y 0.814 0.186 0.250
Br 0.396 0.604 0.750
Br 0.604 0.396 0.250

[5]
A plane-wave DFT calculation with PBE was carried out for an optimized crystal structure of BaSiO3.

Computed properties:
electronic total energy = -35.36 eV per formula unit
space group = P2_1/m
calculated volume = 15.3 Å³/atom
raw formation energy = -13.14 eV per formula unit

a b c (Å): 3.156 6.836 7.274
angles (deg): 90.00 102.13 90.00
Fractional positions:
Ba 0.166 0.250 0.350
Ba 0.834 0.750 0.650
Si 0.420 0.250 0.827
Si 0.580 0.750 0.173
O 0.023 0.750 0.054
O 0.357 0.054 0.699
O 0.357 0.446 0.699
O 0.643 0.554 0.301
O 0.643 0.946 0.301
O 0.977 0.250 0.946

[6]
A plane-wave DFT calculation with PBE was carried out for an optimized crystal structure of InCoRe2.

Computed properties:
electronic total energy = -32.93 eV per formula unit
space group = I4/mmm
calculated volume = 15.1 Å³/atom
energy relative to the elements = 1.8 eV per formula unit

a b c (Å): 5.037 5.037 5.037
angles (deg): 136.25 136.25 63.59
Fractional positions:
In 0.000 0.000 0.000
Co 0.500 0.500 0.000
Re 0.250 0.750 0.500
Re 0.750 0.250 0.500

[7]
A plane-wave DFT calculation with PBE was carried out for an optimized crystal structure of K2Ho2Bi2Se.

Computed properties:
electronic total energy = -28.92 eV per formula unit
space group = I4/mmm
calculated volume = 37.7 Å³/atom
raw formation energy = -6.33 eV per formula unit

a b c (Å): 9.856 9.856 9.856
angles (deg): 148.26 148.26 45.50
Fractional positions:
K 0.184 0.184 0.000
K 0.816 0.816 0.000
Ho 0.000 0.500 0.500
Ho 0.500 0.000 0.500
Bi 0.388 0.388 0.000
Bi 0.612 0.612 0.000
Se 0.000 0.000 0.000

[8]
A plane-wave DFT calculation with PBE was carried out for an optimized crystal structure of Ce2CuS3.

Computed properties:
electronic total energy = -37.62 eV per formula unit
space group = Immm
calculated volume = 21.2 Å³/atom
raw formation energy = -9.27 eV per formula unit

a b c (Å): 8.248 8.248 8.248
angles (deg): 153.37 149.49 40.93
Fractional positions:
Ce 0.140 0.140 0.000
Ce 0.860 0.860 0.000
Cu 0.500 0.500 0.000
S 0.000 0.500 0.500
S 0.326 0.326 0.000
S 0.674 0.674 0.000

[9]
A plane-wave DFT calculation with PBE was carried out for an optimized crystal structure of Li3U3VN8.

Computed properties:
electronic total energy = -129.61 eV per formula unit
space group = R-3m
calculated volume = 12.9 Å³/atom
raw formation energy = -14.28 eV per formula unit

a b c (Å): 6.316 6.316 6.316
angles (deg): 63.82 63.82 63.82
Fractional positions:
Li 0.000 0.500 0.500
Li 0.500 0.000 0.500
Li 0.500 0.500 0.000
U 0.000 0.000 0.500
U 0.000 0.500 0.000
U 0.500 0.000 0.000
V 0.500 0.500 0.500
N 0.240 0.240 0.240
N 0.247 0.725 0.725
N 0.275 0.275 0.753
N 0.275 0.753 0.275
N 0.725 0.247 0.725
N 0.725 0.725 0.247
N 0.753 0.275 0.275
N 0.760 0.760 0.760

[10]
A plane-wave DFT calculation with PBE was carried out for an optimized crystal structure of HoRh4Pb.

Computed properties:
electronic total energy = -40.08 eV per formula unit
space group = F-43m
calculated volume = 17.8 Å³/atom
energy relative to the elements = -2.4 eV per formula unit

a b c (Å): 5.322 5.322 5.322
angles (deg): 60.00 60.00 60.00
Fractional positions:
Ho 0.000 0.000 0.000
Rh 0.127 0.624 0.624
Rh 0.624 0.127 0.624
Rh 0.624 0.624 0.127
Rh 0.624 0.624 0.624
Pb 0.250 0.250 0.250

[11]
A plane-wave DFT calculation with PBE was carried out for an optimized crystal structure of Ba2ScTl.

Computed properties:
electronic total energy = -11.87 eV per formula unit
space group = R-3m
E above lowest polymorph = 0.87 eV/f.u.
calculated volume = 40.0 Å³/atom
energy relative to the elements = 0.7 eV per formula unit

a b c (Å): 11.908 11.908 11.908
angles (deg): 19.22 19.22 19.22
Fractional positions:
Ba 0.248 0.248 0.248
Ba 0.752 0.752 0.752
Sc 0.000 0.000 0.000
Tl 0.500 0.500 0.500

[12]
A plane-wave DFT calculation with PBE was carried out for an optimized crystal structure of LiCr2In.

Computed properties:
electronic total energy = -23.22 eV per formula unit
space group = P4mm
calculated volume = 15.6 Å³/atom
energy relative to the elements = 0.7 eV per formula unit

a b c (Å): 3.089 3.089 6.542
angles (deg): 90.00 90.00 90.00
Fractional positions:
Li 0.000 0.000 0.000
Cr 0.000 0.000 0.571
Cr 0.500 0.500 0.734
In 0.500 0.500 0.271